The following is a DFT calculation (PBE-GGA) of a geometry-optimized Ho4Bi3Pb structure.

```
Ho4Bi3Pb
1.0
6.301 0.000 0.000
0.000 6.301 0.000
0.000 0.000 6.301
Ho Bi Pb
4 3 1
Cartesian
0.000 0.000 0.000
0.000 3.151 3.151
3.151 0.000 3.151
3.151 3.151 0.000
0.000 0.000 3.151
0.000 3.151 0.000
3.151 0.000 0.000
3.151 3.151 3.151
```

## Properties
Energy = -4.91 eV/atom
Magnetic moment = 0.000 μB per cell
Crystal system = cubic
Symmetry = Pm-3m